[1]
This record from Alexandria describes a geometry-optimized Be2PtRh structure. The functional is GGA-PBE.

Energy relative to the elements   -0.42 eV per atom
V   11.9 Å³/atom
Electronic total energy   -5.634 eV per atom

a = 2.8121 Å, b = 2.8121 Å, c = 20.8123 Å
α = 90.00°, β = 90.00°, γ = 120.00°
Space group R-3m (No. 166, hexagonal axes)
Symmetry-distinct sites (fractional):
Be1 0.0000 0.0000 0.2469
Pt1 0.0000 0.0000 0.0000
Rh1 0.0000 0.0000 0.5000



[2]
This record from Alexandria describes a geometry-optimized BePtRh structure. The functional is GGA-PBE.

Energy relative to the elements   -0.46 eV per atom
V   12.5 Å³/atom
Electronic total energy   -6.163 eV per atom

a = 2.767 Å, b = 2.767 Å, c = 9.761 Å
α = 90.00°, β = 90.00°, γ = 90.00°
Space group I4mm (No. 107)
Symmetry-distinct sites (fractional):
Be1 0.000 0.000 0.000
Pt1 0.000 0.000 0.647
Rh1 0.000 0.000 0.358



[3]
This record from Alexandria describes a geometry-optimized BePtRh structure. The functional is GGA-PBE.

Energy relative to the elements   -0.31 eV per atom
V   13.5 Å³/atom
Electronic total energy   -6.015 eV per atom

a = 5.454 Å, b = 5.454 Å, c = 5.454 Å
α = 90.00°, β = 90.00°, γ = 90.00°
Space group F-43m (No. 216)
Symmetry-distinct sites (fractional):
Be1 0.000 0.000 0.000
Pt1 0.250 0.250 0.250
Rh1 0.250 0.250 0.750



[4]
This record from Alexandria describes a geometry-optimized Be2PtRh structure. The functional is GGA-PBE.

Energy relative to the elements   -0.54 eV per atom
V   11.4 Å³/atom
Electronic total energy   -5.755 eV per atom

a = 2.846 Å, b = 2.846 Å, c = 5.626 Å
α = 90.00°, β = 90.00°, γ = 90.00°
Space group P4mm (No. 99)
Symmetry-distinct sites (fractional):
Be1 0.000 0.000 0.000
Be2 0.500 0.500 0.208
Pt1 0.000 0.000 0.430
Rh1 0.500 0.500 0.798



[5]
This record from Alexandria describes a geometry-optimized Be2Pt2Rh structure. The functional is GGA-PBE.

Energy relative to the elements   -0.54 eV per atom
V   12.2 Å³/atom
Electronic total energy   -5.914 eV per atom

a = 6.668 Å, b = 6.668 Å, c = 2.754 Å
α = 90.00°, β = 90.00°, γ = 90.00°
Space group P4/mbm (No. 127)
Symmetry-distinct sites (fractional):
Be1 0.135 0.365 0.000
Pt1 0.161 0.661 0.500
Rh1 0.000 0.000 0.000



[6]
This record from Alexandria describes a geometry-optimized Be2PtRh structure. The functional is GGA-PBE.

Energy relative to the elements   -0.45 eV per atom
V   11.9 Å³/atom
Electronic total energy   -5.658 eV per atom

a = 7.164 Å, b = 2.806 Å, c = 4.845 Å
α = 90.00°, β = 103.16°, γ = 90.00°
Space group C2/m (No. 12)
Symmetry-distinct sites (fractional):
Be1 0.249 0.000 0.239
Pt1 0.000 0.000 0.500
Rh1 0.000 0.500 0.000



[7]
This record from Alexandria describes a geometry-optimized Be3Pt2Rh structure. The functional is GGA-PBE.

Energy relative to the elements   -0.77 eV per atom
V   11.2 Å³/atom
Electronic total energy   -5.873 eV per atom

a = 2.825 Å, b = 2.825 Å, c = 8.450 Å
α = 90.00°, β = 90.00°, γ = 90.00°
Space group P4/mmm (No. 123)
Symmetry-distinct sites (fractional):
Be1 0.000 0.000 0.000
Be2 0.000 0.000 0.348
Pt1 0.500 0.500 0.169
Rh1 0.500 0.500 0.500



[8]
This record from Alexandria describes a geometry-optimized Be2PtRh structure. The functional is GGA-PBE.

Energy relative to the elements   -0.38 eV per atom
V   11.8 Å³/atom
Electronic total energy   -5.589 eV per atom

a = 3.335 Å, b = 3.335 Å, c = 8.480 Å
α = 90.00°, β = 90.00°, γ = 90.00°
Space group I-4m2 (No. 119)
Symmetry-distinct sites (fractional):
Be1 0.000 0.000 0.000
Be2 0.000 0.500 0.250
Pt1 0.000 0.500 0.750
Rh1 0.000 0.000 0.500